#w
Computed, not measured: a geometry-optimized LiLaMo structure at the PBEsol level of DFT.

```
data_LiLaMo
_chemical_formula_sum 'Li1 La1 Mo1'
_cell_length_a 2.9401
_cell_length_b 2.9401
_cell_length_c 8.1352
_cell_angle_alpha 90.00
_cell_angle_beta 90.00
_cell_angle_gamma 120.00
_symmetry_space_group_name_H-M 'P 3 m 1'
_symmetry_Int_Tables_number 156
_symmetry_space_group_name_Hall 'P 3 -2"'
loop_
_atom_site_label
_atom_site_fract_x
_atom_site_fract_y
_atom_site_fract_z
_atom_site_occupancy
Li1 0.0000 0.0000 0.0000 1
La1 0.3333 0.6667 0.3841 1
Mo1 0.6667 0.3333 0.7167 1
```

#x
Computed, not measured: a geometry-optimized LiLaMo structure at the PBEsol level of DFT.

```
data_LiLaMo
_chemical_formula_sum 'Li4 La4 Mo4'
_cell_length_a 6.3086
_cell_length_b 6.3086
_cell_length_c 6.3086
_cell_angle_alpha 90.00
_cell_angle_beta 90.00
_cell_angle_gamma 90.00
_symmetry_space_group_name_H-M 'F -4 3 m'
_symmetry_Int_Tables_number 216
_symmetry_space_group_name_Hall 'F -4 2 3'
loop_
_atom_site_label
_atom_site_fract_x
_atom_site_fract_y
_atom_site_fract_z
_atom_site_occupancy
Li1 0.0000 0.0000 0.0000 1
La1 0.2500 0.2500 0.2500 1
Mo1 0.2500 0.2500 0.7500 1
```

Quick one: least stable of them? #x

#w
Computed, not measured: a geometry-optimized LiLaMo2 structure at the PBEsol level of DFT.

```
data_LiLaMo2
_chemical_formula_sum 'Li2 La2 Mo4'
_cell_length_a 3.3876
_cell_length_b 4.4383
_cell_length_c 9.4788
_cell_angle_alpha 90.00
_cell_angle_beta 90.00
_cell_angle_gamma 90.00
_symmetry_space_group_name_H-M 'I m m m'
_symmetry_Int_Tables_number 71
_symmetry_space_group_name_Hall '-I 2 2'
loop_
_atom_site_label
_atom_site_fract_x
_atom_site_fract_y
_atom_site_fract_z
_atom_site_occupancy
Li1 0.0000 0.0000 0.0000 1
La1 0.0000 0.0000 0.5000 1
Mo1 0.0000 0.5000 0.2491 1
```

#x
Computed, not measured: a geometry-optimized LiLaMo2 structure at the PBEsol level of DFT.

```
data_LiLaMo2
_chemical_formula_sum 'Li4 La4 Mo8'
_cell_length_a 6.5941
_cell_length_b 6.5941
_cell_length_c 6.5941
_cell_angle_alpha 90.00
_cell_angle_beta 90.00
_cell_angle_gamma 90.00
_symmetry_space_group_name_H-M 'F -4 3 m'
_symmetry_Int_Tables_number 216
_symmetry_space_group_name_Hall 'F -4 2 3'
loop_
_atom_site_label
_atom_site_fract_x
_atom_site_fract_y
_atom_site_fract_z
_atom_site_occupancy
Li1 0.0000 0.0000 0.0000 1
La1 0.2500 0.2500 0.7500 1
Mo1 0.0000 0.0000 0.5000 1
Mo2 0.2500 0.2500 0.2500 1
```

Quick one: least stable of them? #w

#w
Computed, not measured: a geometry-optimized NaLiLa2Ti4O12 structure at the PBEsol level of DFT.

```
data_NaLiLa2Ti4O12
_chemical_formula_sum 'Na1 Li1 La2 Ti4 O12'
_cell_length_a 7.7506
_cell_length_b 7.7506
_cell_length_c 3.8633
_cell_angle_alpha 90.00
_cell_angle_beta 90.00
_cell_angle_gamma 90.00
_symmetry_space_group_name_H-M 'P 4/m m m'
_symmetry_Int_Tables_number 123
_symmetry_space_group_name_Hall '-P 4 2'
loop_
_atom_site_label
_atom_site_fract_x
_atom_site_fract_y
_atom_site_fract_z
_atom_site_occupancy
Na1 0.0000 0.0000 0.0000 1
Li1 0.5000 0.5000 0.5000 1
La1 0.0000 0.5000 0.0000 1
Ti1 0.2486 0.2486 0.5000 1
O1 0.0000 0.2710 0.5000 1
O2 0.2396 0.2396 0.0000 1
O3 0.2469 0.5000 0.5000 1
```

#x
Computed, not measured: a geometry-optimized NaLiLa2Ti4O12 structure at the PBEsol level of DFT.

```
data_NaLiLa2Ti4O12
_chemical_formula_sum 'Na1 Li1 La2 Ti4 O12'
_cell_length_a 5.3945
_cell_length_b 5.3952
_cell_length_c 7.8339
_cell_angle_alpha 89.52
_cell_angle_beta 89.59
_cell_angle_gamma 89.30
_symmetry_space_group_name_H-M 'P 1'
_symmetry_Int_Tables_number 1
_symmetry_space_group_name_Hall 'P 1'
loop_
_atom_site_label
_atom_site_fract_x
_atom_site_fract_y
_atom_site_fract_z
_atom_site_occupancy
Na1 0.0000 0.0000 0.0000 1
Li1 0.9428 0.9388 0.4384 1
La1 0.4809 0.4845 0.5165 1
La2 0.4997 0.5028 0.0121 1
Ti1 0.4836 0.9921 0.2593 1
Ti2 0.4993 0.9927 0.7567 1
Ti3 0.9898 0.5015 0.7566 1
Ti4 0.9926 0.4793 0.2605 1
O1 0.0306 0.4464 0.0278 1
O2 0.1974 0.2030 0.3304 1
O3 0.2393 0.2442 0.7333 1
O4 0.2780 0.7208 0.7758 1
O5 0.2819 0.6936 0.2741 1
O6 0.4432 0.0359 0.0275 1
O7 0.5557 0.9594 0.5241 1
O8 0.6862 0.2902 0.2735 1
O9 0.7153 0.2834 0.7755 1
O10 0.7582 0.7627 0.8253 1
O11 0.7651 0.7716 0.2342 1
O12 0.9539 0.5599 0.5240 1
```

Quick one: least stable of them? #w

#w
Computed, not measured: a geometry-optimized LiLa3Ti4O12 structure at the PBEsol level of DFT.

```
data_LiLa3Ti4O12
_chemical_formula_sum 'Li2 La6 Ti8 O24'
_cell_length_a 5.4934
_cell_length_b 5.4934
_cell_length_c 15.5430
_cell_angle_alpha 90.00
_cell_angle_beta 90.00
_cell_angle_gamma 90.00
_symmetry_space_group_name_H-M 'I 4/m m m'
_symmetry_Int_Tables_number 139
_symmetry_space_group_name_Hall '-I 4 2'
loop_
_atom_site_label
_atom_site_fract_x
_atom_site_fract_y
_atom_site_fract_z
_atom_site_occupancy
Li1 0.0000 0.0000 0.0000 1
La1 0.0000 0.0000 0.2484 1
La2 0.0000 0.0000 0.5000 1
Ti1 0.0000 0.5000 0.1234 1
O1 0.0000 0.5000 0.0000 1
O2 0.0000 0.5000 0.2500 1
O3 0.2445 0.2445 0.3707 1
```

#x
Computed, not measured: a geometry-optimized LiLa3Ti4O12 structure at the PBEsol level of DFT.

```
data_LiLa3Ti4O12
_chemical_formula_sum 'Li2 La6 Ti8 O24'
_cell_length_a 7.7654
_cell_length_b 7.6866
_cell_length_c 7.8032
_cell_angle_alpha 90.00
_cell_angle_beta 90.69
_cell_angle_gamma 90.00
_symmetry_space_group_name_H-M 'C 1 m 1'
_symmetry_Int_Tables_number 8
_symmetry_space_group_name_Hall 'C -2y'
loop_
_atom_site_label
_atom_site_fract_x
_atom_site_fract_y
_atom_site_fract_z
_atom_site_occupancy
Li1 0.0000 0.0000 0.0000 1
La1 0.4284 0.5000 0.5540 1
La2 0.4299 0.0000 0.5644 1
La3 0.4497 0.0000 0.0691 1
Ti1 0.1858 0.2491 0.3091 1
Ti2 0.1945 0.2535 0.8230 1
O1 0.1507 0.0000 0.7727 1
O2 0.1721 0.0000 0.3694 1
O3 0.1780 0.2002 0.0662 1
O4 0.1917 0.2917 0.5686 1
O5 0.1991 0.5000 0.2814 1
O6 0.2422 0.5000 0.8597 1
O7 0.4355 0.2251 0.3247 1
O8 0.4425 0.1989 0.8157 1
```

Quick one: least stable of them? #w

#w
Computed, not measured: a geometry-optimized LiLaW2O8 structure at the PBEsol level of DFT.

```
data_LiLaW2O8
_chemical_formula_sum 'Li2 La2 W4 O16'
_cell_length_a 7.1121
_cell_length_b 7.3819
_cell_length_c 7.5520
_cell_angle_alpha 113.94
_cell_angle_beta 115.80
_cell_angle_gamma 90.79
_symmetry_space_group_name_H-M 'P -1'
_symmetry_Int_Tables_number 2
_symmetry_space_group_name_Hall '-P 1'
loop_
_atom_site_label
_atom_site_fract_x
_atom_site_fract_y
_atom_site_fract_z
_atom_site_occupancy
Li1 0.2409 0.3313 0.4954 1
La1 0.3178 0.7128 0.0419 1
W1 0.1446 0.0997 0.7811 1
W2 0.2432 0.7070 0.4730 1
O1 0.0175 0.1726 0.4910 1
O2 0.0562 0.4665 0.2535 1
O3 0.1154 0.8293 0.2445 1
O4 0.2063 0.0071 0.9773 1
O5 0.3179 0.6364 0.6926 1
O6 0.3209 0.3535 0.9330 1
O7 0.3617 0.0074 0.6936 1
O8 0.4628 0.6944 0.4121 1
```

#x
Computed, not measured: a geometry-optimized LiLaW2O8 structure at the PBEsol level of DFT.

```
data_LiLaW2O8
_chemical_formula_sum 'Li2 La2 W4 O16'
_cell_length_a 5.2918
_cell_length_b 5.2918
_cell_length_c 11.2429
_cell_angle_alpha 90.00
_cell_angle_beta 90.00
_cell_angle_gamma 90.00
_symmetry_space_group_name_H-M 'I -4'
_symmetry_Int_Tables_number 82
_symmetry_space_group_name_Hall 'I -4'
loop_
_atom_site_label
_atom_site_fract_x
_atom_site_fract_y
_atom_site_fract_z
_atom_site_occupancy
Li1 0.0000 0.0000 0.0000 1
La1 0.0000 0.5000 0.7500 1
W1 0.0000 0.0000 0.5000 1
W2 0.0000 0.5000 0.2500 1
O1 0.1522 0.2589 0.1621 1
O2 0.1577 0.7652 0.5887 1
```

Quick one: least stable of them? #x

#w
Computed, not measured: a geometry-optimized LiLaOs2 structure at the PBEsol level of DFT.

```
data_LiLaOs2
_chemical_formula_sum 'Li4 La4 Os8'
_cell_length_a 6.5006
_cell_length_b 6.5006
_cell_length_c 6.5006
_cell_angle_alpha 90.00
_cell_angle_beta 90.00
_cell_angle_gamma 90.00
_symmetry_space_group_name_H-M 'F -4 3 m'
_symmetry_Int_Tables_number 216
_symmetry_space_group_name_Hall 'F -4 2 3'
loop_
_atom_site_label
_atom_site_fract_x
_atom_site_fract_y
_atom_site_fract_z
_atom_site_occupancy
Li1 0.0000 0.0000 0.0000 1
La1 0.2500 0.2500 0.7500 1
Os1 0.0000 0.0000 0.5000 1
Os2 0.2500 0.2500 0.2500 1
```

#x
Computed, not measured: a geometry-optimized LiLaOs2 structure at the PBEsol level of DFT.

```
data_LiLaOs2
_chemical_formula_sum 'Li2 La2 Os4'
_cell_length_a 5.4460
_cell_length_b 9.4984
_cell_length_c 2.8714
_cell_angle_alpha 90.00
_cell_angle_beta 117.02
_cell_angle_gamma 90.00
_symmetry_space_group_name_H-M 'C 1 2/m 1'
_symmetry_Int_Tables_number 12
_symmetry_space_group_name_Hall '-C 2y'
loop_
_atom_site_label
_atom_site_fract_x
_atom_site_fract_y
_atom_site_fract_z
_atom_site_occupancy
Li1 0.0000 0.0000 0.0000 1
La1 0.0000 0.5000 0.0000 1
Os1 0.2500 0.2500 0.5000 1
```

#y
Computed, not measured: a geometry-optimized LiLaOs2 structure at the PBEsol level of DFT.

```
data_LiLaOs2
_chemical_formula_sum 'Li1 La1 Os2'
_cell_length_a 2.7125
_cell_length_b 2.7125
_cell_length_c 9.0359
_cell_angle_alpha 90.00
_cell_angle_beta 90.00
_cell_angle_gamma 90.00
_symmetry_space_group_name_H-M 'P 4/m m m'
_symmetry_Int_Tables_number 123
_symmetry_space_group_name_Hall '-P 4 2'
loop_
_atom_site_label
_atom_site_fract_x
_atom_site_fract_y
_atom_site_fract_z
_atom_site_occupancy
Li1 0.0000 0.0000 0.0000 1
La1 0.0000 0.0000 0.5000 1
Os1 0.5000 0.5000 0.2177 1
```

#z
Computed, not measured: a geometry-optimized LiLaOs2 structure at the PBEsol level of DFT.

```
data_LiLaOs2
_chemical_formula_sum 'Li3 La3 Os6'
_cell_length_a 4.2928
_cell_length_b 4.2928
_cell_length_c 15.0231
_cell_angle_alpha 90.00
_cell_angle_beta 90.00
_cell_angle_gamma 120.00
_symmetry_space_group_name_H-M 'R 3 m'
_symmetry_Int_Tables_number 160
_symmetry_space_group_name_Hall 'R 3 -2"'
loop_
_atom_site_label
_atom_site_fract_x
_atom_site_fract_y
_atom_site_fract_z
_atom_site_occupancy
Li1 0.0000 0.0000 0.0000 1
La1 0.0000 0.0000 0.2016 1
Os1 0.0000 0.0000 0.4023 1
Os2 0.0000 0.0000 0.7270 1
```

Quick one: least stable of them? #y

#w
Computed, not measured: a geometry-optimized Li2LaOs structure at the PBEsol level of DFT.

```
data_Li2LaOs
_chemical_formula_sum 'Li2 La1 Os1'
_cell_length_a 2.7228
_cell_length_b 2.7228
_cell_length_c 9.7441
_cell_angle_alpha 90.00
_cell_angle_beta 90.00
_cell_angle_gamma 90.00
_symmetry_space_group_name_H-M 'P 4/m m m'
_symmetry_Int_Tables_number 123
_symmetry_space_group_name_Hall '-P 4 2'
loop_
_atom_site_label
_atom_site_fract_x
_atom_site_fract_y
_atom_site_fract_z
_atom_site_occupancy
Li1 0.0000 0.0000 0.1982 1
La1 0.5000 0.5000 0.5000 1
Os1 0.5000 0.5000 0.0000 1
```

#x
Computed, not measured: a geometry-optimized Li2LaOs structure at the PBEsol level of DFT.

```
data_Li2LaOs
_chemical_formula_sum 'Li4 La2 Os2'
_cell_length_a 10.6174
_cell_length_b 3.4306
_cell_length_c 4.5466
_cell_angle_alpha 90.00
_cell_angle_beta 114.93
_cell_angle_gamma 90.00
_symmetry_space_group_name_H-M 'C 1 2/m 1'
_symmetry_Int_Tables_number 12
_symmetry_space_group_name_Hall '-C 2y'
loop_
_atom_site_label
_atom_site_fract_x
_atom_site_fract_y
_atom_site_fract_z
_atom_site_occupancy
Li1 0.2202 0.0000 0.2182 1
La1 0.0000 0.0000 0.5000 1
Os1 0.0000 0.5000 0.0000 1
```

Quick one: least stable of them? #w

#w
Computed, not measured: a geometry-optimized LiLa2Os structure at the PBEsol level of DFT.

```
data_LiLa2Os
_chemical_formula_sum 'Li2 La4 Os2'
_cell_length_a 3.4441
_cell_length_b 4.9200
_cell_length_c 11.9340
_cell_angle_alpha 90.00
_cell_angle_beta 90.00
_cell_angle_gamma 90.00
_symmetry_space_group_name_H-M 'I m m 2'
_symmetry_Int_Tables_number 44
_symmetry_space_group_name_Hall 'I 2 -2'
loop_
_atom_site_label
_atom_site_fract_x
_atom_site_fract_y
_atom_site_fract_z
_atom_site_occupancy
Li1 0.0000 0.0000 0.0000 1
La1 0.0000 0.0000 0.6341 1
La2 0.0000 0.5000 0.8340 1
Os1 0.0000 0.5000 0.3221 1
```

#x
Computed, not measured: a geometry-optimized LiLa2Os structure at the PBEsol level of DFT.

```
data_LiLa2Os
_chemical_formula_sum 'Li1 La2 Os1'
_cell_length_a 3.4472
_cell_length_b 3.4472
_cell_length_c 8.7872
_cell_angle_alpha 90.00
_cell_angle_beta 90.00
_cell_angle_gamma 90.00
_symmetry_space_group_name_H-M 'P 4/m m m'
_symmetry_Int_Tables_number 123
_symmetry_space_group_name_Hall '-P 4 2'
loop_
_atom_site_label
_atom_site_fract_x
_atom_site_fract_y
_atom_site_fract_z
_atom_site_occupancy
Li1 0.0000 0.0000 0.0000 1
La1 0.5000 0.5000 0.3003 1
Os1 0.0000 0.0000 0.5000 1
```

Quick one: least stable of them? #w

#w
Computed, not measured: a geometry-optimized Li2LaPb2 structure at the PBEsol level of DFT.

```
data_Li2LaPb2
_chemical_formula_sum 'Li4 La2 Pb4'
_cell_length_a 4.4703
_cell_length_b 4.4703
_cell_length_c 12.3593
_cell_angle_alpha 90.00
_cell_angle_beta 90.00
_cell_angle_gamma 90.00
_symmetry_space_group_name_H-M 'I 4/m m m'
_symmetry_Int_Tables_number 139
_symmetry_space_group_name_Hall '-I 4 2'
loop_
_atom_site_label
_atom_site_fract_x
_atom_site_fract_y
_atom_site_fract_z
_atom_site_occupancy
Li1 0.0000 0.5000 0.2500 1
La1 0.0000 0.0000 0.0000 1
Pb1 0.0000 0.0000 0.3816 1
```

#x
Computed, not measured: a geometry-optimized Li2LaPb2 structure at the PBEsol level of DFT.

```
data_Li2LaPb2
_chemical_formula_sum 'Li4 La2 Pb4'
_cell_length_a 8.4992
_cell_length_b 8.4992
_cell_length_c 3.2492
_cell_angle_alpha 90.00
_cell_angle_beta 90.00
_cell_angle_gamma 90.00
_symmetry_space_group_name_H-M 'P 4/m b m'
_symmetry_Int_Tables_number 127
_symmetry_space_group_name_Hall '-P 4 2ab'
loop_
_atom_site_label
_atom_site_fract_x
_atom_site_fract_y
_atom_site_fract_z
_atom_site_occupancy
Li1 0.1150 0.3850 0.0000 1
La1 0.0000 0.0000 0.0000 1
Pb1 0.1776 0.6776 0.5000 1
```

Quick one: least stable of them? #x

#w
Computed, not measured: a geometry-optimized Li2LaPt structure at the PBEsol level of DFT.

```
data_Li2LaPt
_chemical_formula_sum 'Li6 La3 Pt3'
_cell_length_a 4.4258
_cell_length_b 4.4258
_cell_length_c 14.3078
_cell_angle_alpha 90.00
_cell_angle_beta 90.00
_cell_angle_gamma 120.00
_symmetry_space_group_name_H-M 'R 3 m'
_symmetry_Int_Tables_number 160
_symmetry_space_group_name_Hall 'R 3 -2"'
loop_
_atom_site_label
_atom_site_fract_x
_atom_site_fract_y
_atom_site_fract_z
_atom_site_occupancy
Li1 0.0000 0.0000 0.0000 1
Li2 0.0000 0.0000 0.2835 1
La1 0.0000 0.0000 0.4824 1
Pt1 0.0000 0.0000 0.6962 1
```

#x
Computed, not measured: a geometry-optimized Li2LaPt structure at the PBEsol level of DFT.

```
data_Li2LaPt
_chemical_formula_sum 'Li4 La2 Pt2'
_cell_length_a 5.5011
_cell_length_b 8.4238
_cell_length_c 3.1973
_cell_angle_alpha 90.00
_cell_angle_beta 90.00
_cell_angle_gamma 90.00
_symmetry_space_group_name_H-M 'C m m m'
_symmetry_Int_Tables_number 65
_symmetry_space_group_name_Hall '-C 2 2'
loop_
_atom_site_label
_atom_site_fract_x
_atom_site_fract_y
_atom_site_fract_z
_atom_site_occupancy
Li1 0.2500 0.2500 0.0000 1
La1 0.0000 0.0000 0.5000 1
Pt1 0.0000 0.5000 0.5000 1
```

Quick one: least stable of them? #x